## Hg2TeN (meta-GGA SCAN)

Data for a crystal of Hg2TeN relaxed with PBEsol. Values from VASP.

Summary:
- DOS(E_F) (states/eV/atom) = 0.290
- E (eV per cell) = -178.309
- symmetry = Fm-3m, No. 225

Structure (Quantum ESPRESSO input):
```
&SYSTEM
  ibrav = 0, nat = 4, ntyp = 3
/
ATOMIC_SPECIES
Hg 200.59 Hg.upf
Te 127.60 Te.upf
N 14.01 N.upf
ATOMIC_POSITIONS angstrom
Hg 7.4241 4.2863 3.0309
Hg 2.4747 1.4288 1.0103
Te 4.9494 2.8575 2.0206
N 0.0000 0.0000 0.0000
CELL_PARAMETERS angstrom
4.9494 0.0000 0.0000
2.4747 4.2863 0.0000
2.4747 1.4288 4.0411
```

---

## ZrHgTe2N (meta-GGA SCAN)

Data for a crystal of ZrHgTe2N relaxed with PBEsol. Values from VASP.

Summary:
- DOS(E_F) (states/eV/atom) = 0.591
- E (eV per cell) = -178.021
- symmetry = P4/mmm, No. 123

Structure (Quantum ESPRESSO input):
```
&SYSTEM
  ibrav = 0, nat = 5, ntyp = 4
/
ATOMIC_SPECIES
Te 127.60 Te.upf
Zr 91.22 Zr.upf
N 14.01 N.upf
Hg 200.59 Hg.upf
ATOMIC_POSITIONS angstrom
Te -0.0963 -2.1154 1.8171
Te 0.8466 1.7102 2.0358
Zr -1.1421 0.0375 4.2680
N -1.8924 0.4427 0.4151
Hg 0.0000 0.0000 0.0000
CELL_PARAMETERS angstrom
-3.7849 0.8854 0.8303
-0.1925 -4.2307 3.6341
1.6933 3.4203 4.0715
```

---

## Ti3HgN (meta-GGA SCAN)

Data for a crystal of Ti3HgN relaxed with PBEsol. Values from VASP.

Summary:
- DOS(E_F) (states/eV/atom) = 0.519
- E (eV per cell) = -130.904
- symmetry = Pm-3m, No. 221

Structure (Quantum ESPRESSO input):
```
&SYSTEM
  ibrav = 0, nat = 5, ntyp = 3
/
ATOMIC_SPECIES
Ti 47.87 Ti.upf
Hg 200.59 Hg.upf
N 14.01 N.upf
ATOMIC_POSITIONS angstrom
Ti 0.0000 2.0659 2.0659
Ti 2.0659 0.0000 2.0659
Ti 2.0659 2.0659 0.0000
Hg 0.0000 0.0000 0.0000
N 2.0659 2.0659 2.0659
CELL_PARAMETERS angstrom
4.1318 0.0000 0.0000
0.0000 4.1318 0.0000
0.0000 0.0000 4.1318
```

---

## TlZnHgN2 (meta-GGA SCAN)

Data for a crystal of TlZnHgN2 relaxed with PBEsol. Values from VASP.

Summary:
- DOS(E_F) (states/eV/atom) = 0.326
- E (eV per cell) = -166.263
- symmetry = P4/mmm, No. 123

Structure (Quantum ESPRESSO input):
```
&SYSTEM
  ibrav = 0, nat = 5, ntyp = 4
/
ATOMIC_SPECIES
N 14.01 N.upf
Hg 200.59 Hg.upf
Tl 204.38 Tl.upf
Zn 65.41 Zn.upf
ATOMIC_POSITIONS angstrom
N 0.3032 -0.7526 -1.8622
N -1.2110 -1.5710 0.4377
Hg 1.2593 -3.7367 -0.5005
Tl 2.1671 -1.4131 0.9240
Zn 0.0000 0.0000 0.0000
CELL_PARAMETERS angstrom
-2.4220 -3.1420 0.8755
0.6064 -1.5052 -3.7244
4.3343 -2.8262 1.8479
```

---

## HgWN2 (meta-GGA SCAN)

Data for a crystal of HgWN2 relaxed with PBEsol. Values from VASP.

Summary:
- DOS(E_F) (states/eV/atom) = 0.002
- E (eV per cell) = -314.622
- symmetry = Fd-3m, No. 227

Structure (Quantum ESPRESSO input):
```
&SYSTEM
  ibrav = 0, nat = 8, ntyp = 3
/
ATOMIC_SPECIES
N 14.01 N.upf
W 183.84 W.upf
Hg 200.59 Hg.upf
ATOMIC_POSITIONS angstrom
N -2.9650 -3.0026 1.9655
N -3.5945 -0.2172 2.9500
N -4.5192 -1.0963 0.2121
N -1.5827 -0.6166 0.7325
W 0.0000 0.0000 0.0000
W -3.1654 -1.2332 1.4650
Hg -9.4961 -3.6995 4.3951
Hg -6.3307 -2.4664 2.9301
CELL_PARAMETERS angstrom
-5.8731 -0.9595 -1.0409
-2.7646 -4.7721 2.4661
-4.0237 0.7989 4.4350
```

---

## Na8Hg3 (meta-GGA SCAN)

Data for a crystal of Na8Hg3 relaxed with PBEsol. Values from VASP.

Summary:
- DOS(E_F) (states/eV/atom) = 0.388
- E (eV per cell) = -962.998
- symmetry = R-3c, No. 167

Structure (Quantum ESPRESSO input):
```
&SYSTEM
  ibrav = 0, nat = 44, ntyp = 2
/
ATOMIC_SPECIES
Na 22.99 Na.upf
Hg 200.59 Hg.upf
ATOMIC_POSITIONS angstrom
Na 4.5352 2.6184 5.8562
Na 5.7277 5.9000 5.9083
Na 13.6056 7.8552 11.3542
Na 12.4130 4.5736 11.3021
Na 14.8648 5.3052 16.2754
Na 2.9564 0.2529 0.9349
Na 10.1674 2.0104 5.9083
Na 4.5352 2.6184 14.0252
Na 11.3599 5.1816 14.5135
Na 3.2760 5.1684 0.9349
Na 9.0704 5.2368 11.7904
Na 10.7676 7.6707 9.5401
Na 7.8112 7.9235 7.6703
Na 12.0268 4.9839 7.6703
Na 10.3296 2.5500 9.5401
Na 7.3732 2.4339 0.9349
Na 7.3732 2.8029 7.6703
Na 15.1844 10.2207 16.2754
Na 13.6056 7.8552 14.4614
Na 10.2629 7.1920 2.6969
Na 13.6056 7.8552 3.1852
Na 7.9734 7.2472 14.5135
Na 6.8247 2.6736 11.3021
Na 10.1674 3.2264 2.6969
Na 6.7809 5.2920 2.6969
Na 6.1140 5.4897 9.5401
Na 11.3161 7.8000 5.9083
Na 9.0704 5.2368 5.4200
Na 7.8778 3.2816 14.5135
Na 10.7676 8.0397 16.2754
Na 7.9734 8.4632 11.3021
Na 4.5352 2.6184 2.7490
Hg 12.1761 5.0943 4.3026
Hg 10.4998 2.4759 12.9078
Hg 10.7467 7.8552 12.9078
Hg 4.5352 2.6184 9.0573
Hg 7.3941 2.6184 4.3026
Hg 9.0704 5.2368 8.6052
Hg 9.0704 5.2368 0.4521
Hg 7.6409 7.9977 4.3026
Hg 0.0000 0.0000 0.0000
Hg 9.0704 5.2368 16.7583
Hg 5.9647 5.3793 12.9078
Hg 13.6056 7.8552 8.1531
CELL_PARAMETERS angstrom
9.0704 0.0000 0.0000
4.5352 7.8552 0.0000
4.5352 2.6184 17.2104
```

---

## NaHg2 (meta-GGA SCAN)

Data for a crystal of NaHg2 relaxed with PBEsol. Values from VASP.

Summary:
- DOS(E_F) (states/eV/atom) = 0.296
- E (eV per cell) = -141.498
- symmetry = P6/mmm, No. 191

Structure (Quantum ESPRESSO input):
```
&SYSTEM
  ibrav = 0, nat = 3, ntyp = 2
/
ATOMIC_SPECIES
Hg 200.59 Hg.upf
Na 22.99 Na.upf
ATOMIC_POSITIONS angstrom
Hg 0.3717 -0.2275 3.2769
Hg -2.3325 -0.6027 2.2636
Na 0.0000 0.0000 0.0000
CELL_PARAMETERS angstrom
-4.5396 -2.1677 0.3644
3.5730 -1.0422 3.4041
-0.9941 2.3797 1.7720
```

---

## NaHg3 (meta-GGA SCAN)

Data for a crystal of NaHg3 relaxed with PBEsol. Values from VASP.

Summary:
- DOS(E_F) (states/eV/atom) = 0.285
- E (eV per cell) = -419.480
- symmetry = P6_3/mmc, No. 194

Structure (Quantum ESPRESSO input):
```
&SYSTEM
  ibrav = 0, nat = 8, ntyp = 2
/
ATOMIC_SPECIES
Hg 200.59 Hg.upf
Na 22.99 Na.upf
ATOMIC_POSITIONS angstrom
Hg 1.2621 3.2265 3.7278
Hg 1.2621 1.6113 0.9303
Hg 1.2621 4.8416 0.9303
Hg 3.7863 0.0000 1.8606
Hg 3.7863 -1.6152 4.6581
Hg 3.7863 1.6152 4.6581
Na 3.7863 3.2265 1.8628
Na 1.2621 0.0000 3.7256
CELL_PARAMETERS angstrom
5.0484 0.0000 0.0000
0.0000 6.4529 0.0000
0.0000 -3.2265 5.5884
```

---

> E of number 4 (TlZnHgN2)?

-166.263 eV per cell

---

> Among the records above, which one has the lowest DOS(E_F)?

HgWN2

---

> Which of these has the lowest E?

Na8Hg3

---

Please write out number 4 again, unchanged.
## TlZnHgN2 (meta-GGA SCAN)

Data for a crystal of TlZnHgN2 relaxed with PBEsol. Values from VASP.

Summary:
- DOS(E_F) (states/eV/atom) = 0.326
- E (eV per cell) = -166.263
- symmetry = P4/mmm, No. 123

Structure (Quantum ESPRESSO input):
```
&SYSTEM
  ibrav = 0, nat = 5, ntyp = 4
/
ATOMIC_SPECIES
N 14.01 N.upf
Hg 200.59 Hg.upf
Tl 204.38 Tl.upf
Zn 65.41 Zn.upf
ATOMIC_POSITIONS angstrom
N 0.3032 -0.7526 -1.8622
N -1.2110 -1.5710 0.4377
Hg 1.2593 -3.7367 -0.5005
Tl 2.1671 -1.4131 0.9240
Zn 0.0000 0.0000 0.0000
CELL_PARAMETERS angstrom
-2.4220 -3.1420 0.8755
0.6064 -1.5052 -3.7244
4.3343 -2.8262 1.8479
```